CaMnZn at its PBEsol-relaxed geometry. Source: the Alexandria database, functional meta-GGA SCAN.

a b c (Å): 3.2599 3.2599 6.6845
angles (deg): 90.00 90.00 120.00
Space group P3m1 (No. 156)
Symmetry-distinct sites (fractional):
Ca (0.0000, 0.0000, 0.0000) x1
Mn (0.3333, 0.6667, 0.6239) x1
Zn (0.6667, 0.3333, 0.3603) x1

The value obtained for the density of states at the Fermi level is 2.16 states/eV/cell. As for the energy of formation: 276.7 meV per atom.


LiTeMo2 at its PBEsol-relaxed geometry. Source: the Alexandria database, functional meta-GGA SCAN.

a b c (Å): 9.5858 3.3441 4.2028
angles (deg): 90.00 108.47 90.00
Space group C2/m (No. 12)
Symmetry-distinct sites (fractional):
Li (0.0000, 0.0000, 0.0000) x2
Te (0.0000, 0.5000, 0.5000) x2
Mo (0.2503, 0.0000, 0.7564) x4

Its energy relative to the elements, uncorrected is 304 meV/atom. The value obtained for the density of states at the Fermi level is 5.60 states/eV/cell.


CuTeRh2 at its PBEsol-relaxed geometry. Source: the Alexandria database, functional meta-GGA SCAN.

a b c (Å): 6.2207 6.2207 6.2207
angles (deg): 90.00 90.00 90.00
Space group F-43m (No. 216)
Symmetry-distinct sites (fractional):
Cu (0.0000, 0.0000, 0.0000) x4
Te (0.2500, 0.2500, 0.2500) x4
Rh (0.0000, 0.0000, 0.5000) x4
Rh (0.2500, 0.2500, 0.7500) x4

Its energy relative to the elements, uncorrected is 112 meV/atom. The value obtained for the density of states at the Fermi level is 12.20 states/eV/cell.


Sr3NbCu at its PBEsol-relaxed geometry. Source: the Alexandria database, functional meta-GGA SCAN.

a b c (Å): 5.7014 5.7014 5.7014
angles (deg): 90.00 90.00 90.00
Space group Pm-3m (No. 221)
Symmetry-distinct sites (fractional):
Sr (0.0000, 0.0000, 0.5000) x3
Nb (0.5000, 0.5000, 0.5000) x1
Cu (0.0000, 0.0000, 0.0000) x1

The value obtained for the density of states at the Fermi level is 3.64 states/eV/cell. As for the energy of formation: 678.1 meV per atom.


LiIr2Ru at its PBEsol-relaxed geometry. Source: the Alexandria database, functional meta-GGA SCAN.

a b c (Å): 2.6782 3.8182 5.1546
angles (deg): 90.00 90.00 90.00
Space group Pmm2 (No. 25)
Symmetry-distinct sites (fractional):
Li (0.0000, 0.0000, 0.0000) x1
Ir (0.0000, 0.0000, 0.4976) x1
Ir (0.5000, 0.5000, 0.7724) x1
Ru (0.5000, 0.5000, 0.2540) x1

The polymorph energy (0 for the lowest one) is 0.71 kcal/mol of atoms. The value obtained for the density of states at the Fermi level is 3.43 states/eV/cell. As for the energy of formation: -0.9 meV per atom.


AlCu at its PBEsol-relaxed geometry. Source: the Alexandria database, functional meta-GGA SCAN.

a b c (Å): 5.2883 4.0263 5.0034
angles (deg): 90.00 90.00 90.00
Space group Pnma (No. 62)
Symmetry-distinct sites (fractional):
Al (0.1539, 0.2500, 0.1353) x4
Cu (0.0382, 0.2500, 0.6487) x4

The value obtained for the density of states at the Fermi level is 1.64 states/eV/cell. As for the energy of formation: -296.8 meV per atom.


TlCuPbI2 at its PBEsol-relaxed geometry. Source: the Alexandria database, functional meta-GGA SCAN.

a b c (Å): 6.0017 6.0017 5.8438
angles (deg): 90.00 90.00 90.00
Space group P4/mmm (No. 123)
Symmetry-distinct sites (fractional):
Tl (0.0000, 0.0000, 0.0000) x1
Cu (0.5000, 0.5000, 0.5000) x1
Pb (0.0000, 0.0000, 0.5000) x1
I (0.0000, 0.5000, 0.0000) x2

Its energy relative to the elements, uncorrected is 737 meV/atom. The value obtained for the density of states at the Fermi level is 2.32 states/eV/cell.


SmAg2Hg at its PBEsol-relaxed geometry. Source: the Alexandria database, functional meta-GGA SCAN.

a b c (Å): 6.9185 6.9185 6.9185
angles (deg): 90.00 90.00 90.00
Space group Fm-3m (No. 225)
Symmetry-distinct sites (fractional):
Sm (0.0000, 0.0000, 0.0000) x4
Ag (0.2500, 0.2500, 0.2500) x8
Hg (0.0000, 0.0000, 0.5000) x4

The value obtained for the density of states at the Fermi level is 12.79 states/eV/cell. As for the energy of formation: -312.7 meV per atom.


Ca2FeRe at its PBEsol-relaxed geometry. Source: the Alexandria database, functional meta-GGA SCAN.

a b c (Å): 5.3916 5.3916 2.7367
angles (deg): 90.00 90.00 90.00
Space group P4/mmm (No. 123)
Symmetry-distinct sites (fractional):
Ca (0.0000, 0.5000, 0.0000) x2
Fe (0.0000, 0.0000, 0.5000) x1
Re (0.5000, 0.5000, 0.5000) x1

The polymorph energy (0 for the lowest one) is 11.42 kcal/mol of atoms. The value obtained for the density of states at the Fermi level is 3.36 states/eV/cell. As for the energy of formation: 940.5 meV per atom.


TiGa2O5 at its PBEsol-relaxed geometry. Source: the Alexandria database, functional meta-GGA SCAN.

a b c (Å): 3.6236 9.8482 9.9888
angles (deg): 90.00 90.00 90.00
Space group Cmcm (No. 63)
Symmetry-distinct sites (fractional):
Ti (0.0000, 0.1788, 0.2500) x4
Ga (0.0000, 0.1373, 0.5580) x8
O (0.0000, 0.0456, 0.1191) x8
O (0.0000, 0.2502, 0.7500) x4
O (0.0000, 0.3065, 0.0756) x8

The polymorph energy (0 for the lowest one) is 0.00 kcal/mol of atoms. Its energy relative to the elements, uncorrected is -2494 meV/atom. The value obtained for the density of states at the Fermi level is 0.00 states/eV/cell.


LaHf3Se at its PBEsol-relaxed geometry. Source: the Alexandria database, functional meta-GGA SCAN.

a b c (Å): 5.0745 5.0745 5.0745
angles (deg): 90.00 90.00 90.00
Space group Pm-3m (No. 221)
Symmetry-distinct sites (fractional):
La (0.0000, 0.0000, 0.0000) x1
Hf (0.0000, 0.0000, 0.5000) x3
Se (0.5000, 0.5000, 0.5000) x1

Its energy relative to the elements, uncorrected is 1610 meV/atom. The value obtained for the density of states at the Fermi level is 4.47 states/eV/cell.


ScIn2Hg2 at its PBEsol-relaxed geometry. Source: the Alexandria database, functional meta-GGA SCAN.

a b c (Å): 4.3118 4.3118 12.6926
angles (deg): 90.00 90.00 90.00
Space group I4/mmm (No. 139)
Symmetry-distinct sites (fractional):
Sc (0.0000, 0.0000, 0.0000) x2
In (0.0000, 0.0000, 0.3958) x4
Hg (0.0000, 0.5000, 0.2500) x4

The value obtained for the density of states at the Fermi level is 3.44 states/eV/cell. As for the energy of formation: -21.2 meV per atom.


La2ScAl at its PBEsol-relaxed geometry. Source: the Alexandria database, functional meta-GGA SCAN.

a b c (Å): 3.5257 3.5257 8.4988
angles (deg): 90.00 90.00 90.00
Space group P4mm (No. 99)
Symmetry-distinct sites (fractional):
La (0.0000, 0.0000, 0.0000) x1
La (0.5000, 0.5000, 0.3038) x1
Sc (0.0000, 0.0000, 0.5746) x1
Al (0.5000, 0.5000, 0.7528) x1

The value obtained for the density of states at the Fermi level is 3.59 states/eV/cell. As for the energy of formation: -166.0 meV per atom.


HgTeH4O6 at its PBEsol-relaxed geometry. Source: the Alexandria database, functional meta-GGA SCAN.

a b c (Å): 10.3848 6.0783 8.0240
angles (deg): 90.00 90.00 90.00
Space group Pna2_1 (No. 33)
Symmetry-distinct sites (fractional):
Hg (0.0088, 0.1352, 0.0000) x4
Te (0.1426, 0.6394, 0.0073) x4
H (0.0814, 0.4926, 0.7226) x4
H (0.1363, 0.2721, 0.4145) x4
H (0.2203, 0.8690, 0.2449) x4
H (0.2423, 0.9140, 0.7199) x4
O (0.0119, 0.8201, 0.9036) x4
O (0.0131, 0.4457, 0.0994) x4
O (0.1297, 0.8214, 0.2057) x4
O (0.1492, 0.4452, 0.8133) x4
O (0.2196, 0.9641, 0.6014) x4
O (0.2282, 0.3317, 0.4058) x4

The value obtained for the density of states at the Fermi level is 0.00 states/eV/cell.


FeGe2 at its PBEsol-relaxed geometry. Source: the Alexandria database, functional meta-GGA SCAN.

a b c (Å): 10.8116 5.5927 5.5868
angles (deg): 90.00 90.00 90.00
Space group Cmce (No. 64)
Symmetry-distinct sites (fractional):
Fe (0.1152, 0.0000, 0.0000) x8
Ge (0.0000, 0.1583, 0.3416) x8
Ge (0.2500, 0.2471, 0.7500) x8

The value obtained for the density of states at the Fermi level is 19.55 states/eV/cell. As for the energy of formation: 91.2 meV per atom.


Be2ReAu at its PBEsol-relaxed geometry. Source: the Alexandria database, functional meta-GGA SCAN.

a b c (Å): 2.7012 4.0561 8.8034
angles (deg): 90.00 90.00 90.00
Space group Imm2 (No. 44)
Symmetry-distinct sites (fractional):
Be (0.0000, 0.0000, 0.0000) x2
Be (0.0000, 0.5000, 0.2723) x2
Re (0.0000, 0.5000, 0.7599) x2
Au (0.0000, 0.0000, 0.5350) x2

The polymorph energy (0 for the lowest one) is 3.70 kcal/mol of atoms. The value obtained for the density of states at the Fermi level is 3.31 states/eV/cell. As for the energy of formation: 95.5 meV per atom.


CaScSi2 at its PBEsol-relaxed geometry. Source: the Alexandria database, functional meta-GGA SCAN.

a b c (Å): 8.8412 3.7685 5.6563
angles (deg): 90.00 112.50 90.00
Space group C2/m (No. 12)
Symmetry-distinct sites (fractional):
Ca (0.0000, 0.0000, 0.0000) x2
Sc (0.0000, 0.5000, 0.5000) x2
Si (0.2423, 0.0000, 0.6439) x4

The polymorph energy (0 for the lowest one) is 1.32 kcal/mol of atoms. Its energy relative to the elements, uncorrected is -391 meV/atom. The value obtained for the density of states at the Fermi level is 6.75 states/eV/cell.


Cr2Si at its PBEsol-relaxed geometry. Source: the Alexandria database, functional meta-GGA SCAN.

a b c (Å): 2.9188 11.6110 3.9992
angles (deg): 90.00 90.00 90.00
Space group Cmcm (No. 63)
Symmetry-distinct sites (fractional):
Cr (0.0000, 0.0771, 0.2500) x4
Cr (0.0000, 0.2647, 0.7500) x4
Si (0.0000, 0.4065, 0.2500) x4

Its energy relative to the elements, uncorrected is -159 meV/atom. The value obtained for the density of states at the Fermi level is 9.72 states/eV/cell.


LaIrPt at its PBEsol-relaxed geometry. Source: the Alexandria database, functional meta-GGA SCAN.

a b c (Å): 6.4855 6.4855 6.4855
angles (deg): 90.00 90.00 90.00
Space group F-43m (No. 216)
Symmetry-distinct sites (fractional):
La (0.0000, 0.0000, 0.0000) x4
Ir (0.0000, 0.0000, 0.5000) x4
Pt (0.2500, 0.2500, 0.7500) x4

The polymorph energy (0 for the lowest one) is 17.63 kcal/mol of atoms. The value obtained for the density of states at the Fermi level is 21.82 states/eV/cell. As for the energy of formation: -242.9 meV per atom.


TaReHg at its PBEsol-relaxed geometry. Source: the Alexandria database, functional meta-GGA SCAN.

a b c (Å): 2.7406 4.2956 8.6006
angles (deg): 90.00 90.00 90.00
Space group Imm2 (No. 44)
Symmetry-distinct sites (fractional):
Ta (0.0000, 0.0000, 0.0000) x2
Re (0.0000, 0.0000, 0.3361) x2
Hg (0.0000, 0.0000, 0.6702) x2

The value obtained for the density of states at the Fermi level is 2.10 states/eV/cell. As for the energy of formation: 351.0 meV per atom.


InTcW2 at its PBEsol-relaxed geometry. Source: the Alexandria database, functional meta-GGA SCAN.

a b c (Å): 2.8512 2.8512 27.7640
angles (deg): 90.00 90.00 120.00
Space group R-3m (No. 166, hexagonal axes)
Symmetry-distinct sites (fractional):
In (0.0000, 0.0000, 0.0000) x3
Tc (0.0000, 0.0000, 0.5000) x3
W (0.0000, 0.0000, 0.2442) x6

The polymorph energy (0 for the lowest one) is 1.55 kcal/mol of atoms. The value obtained for the density of states at the Fermi level is 6.04 states/eV/cell. As for the energy of formation: 441.4 meV per atom.


Ti17N6O24 at its PBEsol-relaxed geometry. Source: the Alexandria database, functional meta-GGA SCAN.

a b c (Å): 11.3664 9.5501 10.6092
angles (deg): 90.00 110.94 90.00
Space group C2 (No. 5)
Symmetry-distinct sites (fractional):
Ti (0.0000, 0.0000, 0.0000) x2
Ti (0.0597, 0.3368, 0.1784) x4
Ti (0.0609, 0.5638, 0.6826) x4
Ti (0.1028, 0.8373, 0.8085) x4
Ti (0.1052, 0.0559, 0.3263) x4
Ti (0.1644, 0.3964, 0.5003) x4
Ti (0.1680, 0.4981, 0.0009) x4
Ti (0.2204, 0.0564, 0.6734) x4
Ti (0.2252, 0.8364, 0.1762) x4
N (0.0000, 0.4283, 0.0000) x2
N (0.0000, 0.4687, 0.5000) x2
N (0.1650, 0.9282, 0.9987) x4
N (0.1793, 0.9774, 0.4999) x4
O (0.0454, 0.7427, 0.6404) x4
O (0.0504, 0.1497, 0.1297) x4
O (0.0627, 0.8858, 0.1875) x4
O (0.0671, 0.0223, 0.7017) x4
O (0.1026, 0.5072, 0.3120) x4
O (0.1067, 0.3791, 0.8188) x4
O (0.1214, 0.2462, 0.3685) x4
O (0.1256, 0.6475, 0.8727) x4
O (0.2037, 0.6488, 0.1304) x4
O (0.2093, 0.2462, 0.6312) x4
O (0.2278, 0.5073, 0.6879) x4
O (0.2299, 0.3847, 0.1885) x4

Its energy relative to the elements, uncorrected is -2939 meV/atom. The value obtained for the density of states at the Fermi level is 13.19 states/eV/cell.


B3OsAu at its PBEsol-relaxed geometry. Source: the Alexandria database, functional meta-GGA SCAN.

a b c (Å): 4.0784 4.0784 4.0784
angles (deg): 90.00 90.00 90.00
Space group Pm-3m (No. 221)
Symmetry-distinct sites (fractional):
B (0.0000, 0.0000, 0.5000) x3
Os (0.0000, 0.0000, 0.0000) x1
Au (0.5000, 0.5000, 0.5000) x1

The value obtained for the density of states at the Fermi level is 2.03 states/eV/cell. As for the energy of formation: 1092.4 meV per atom.


ZrBi3S at its PBEsol-relaxed geometry. Source: the Alexandria database, functional meta-GGA SCAN.

a b c (Å): 5.5191 5.5191 5.5191
angles (deg): 90.00 90.00 90.00
Space group Pm-3m (No. 221)
Symmetry-distinct sites (fractional):
Zr (0.0000, 0.0000, 0.0000) x1
Bi (0.0000, 0.0000, 0.5000) x3
S (0.5000, 0.5000, 0.5000) x1

Its energy relative to the elements, uncorrected is 557 meV/atom. The value obtained for the density of states at the Fermi level is 4.94 states/eV/cell.


In eV per atom, the final energy values for the records above are, in order, -13.535, -27.049, -29.886, -22.353, -44.854, -11.772, -46.627, -44.148, -26.198, -12.479, -48.630, -43.490, -27.216, -13.992, -18.677, -37.145, -11.374, -15.754, -61.709, -68.265, -51.514, -13.105, -31.573, -54.656.
In Bohr magnetons per cell, the magnetization values for the records above are, in order, 3.812, 0.000, 0.000, 4.773, 0.000, 0.000, 0.646, 0.006, 2.900, 0.000, 0.000, 0.000, 0.004, 0.000, 8.760, 0.000, 0.000, 0.009, 0.004, 0.000, 0.000, 0.000, 0.000, 0.631.